The following is a GGA-PBEsol calculation of a relaxed structure of GaCo2AgMo, from Alexandria.

a b c (Å): 4.312 4.312 4.822
angles (deg): 90.00 90.00 90.00
Each line ends with the local moment (μB).
Positions (direct):
Mo1 0.000 0.000 0.000  -0.01
Co1 0.000 0.500 0.000  0.29
Co2 0.500 0.000 0.000  0.29
Ga1 0.000 0.000 0.500  0.00
Ag1 0.500 0.500 0.500  -0.01

Values from the calculation:
Energy of formation from the pure elements in eV per atom: 1.277
Symmetry: P4/mmm

The following is a GGA-PBEsol calculation of a relaxed structure of CoAgH2, from Alexandria.

a b c (Å): 4.075 4.075 4.946
angles (deg): 114.33 114.33 90.00
Each line ends with the local moment (μB).
Positions (direct):
H1 0.793 0.375 0.250  0.00
H2 0.457 0.875 0.250  0.00
H3 0.625 0.543 0.750  0.00
H4 0.125 0.207 0.750  0.00
Co1 0.750 0.250 0.500  0.13
Co2 0.500 0.500 0.000  0.13
Ag1 0.250 0.750 0.500  0.00
Ag2 0.000 0.000 0.000  0.00

Values from the calculation:
Energy in eV/atom: -4.190
Symmetry: I-42d

The following is a GGA-PBEsol calculation of a relaxed structure of CoAg2SnH, from Alexandria.

a b c (Å): 3.411 5.147 5.147
angles (deg): 90.00 90.00 90.00
Each line ends with the local moment (μB).
Positions (direct):
H1 0.500 0.000 0.000  0.00
Co1 0.500 0.500 0.500  2.01
Sn1 0.000 0.000 0.000  0.04
Ag1 0.000 0.000 0.500  -0.01
Ag2 0.000 0.500 0.000  -0.01

Values from the calculation:
Energy in eV/atom: -3.379
Symmetry: P4/mmm

The following is a GGA-PBEsol calculation of a relaxed structure of Hf2Co2Ag, from Alexandria.

a b c (Å): 3.128 7.008 7.008
angles (deg): 90.00 90.00 90.00
Positions (direct):
Co1 0.000 0.367 0.867
Co2 0.000 0.867 0.633
Co3 0.000 0.633 0.133
Co4 0.000 0.133 0.367
Hf1 0.500 0.163 0.663
Hf2 0.500 0.663 0.837
Hf3 0.500 0.837 0.337
Hf4 0.500 0.337 0.163
Ag1 0.000 0.000 0.000
Ag2 0.000 0.500 0.500

Values from the calculation:
Energy of formation from the pure elements in eV per atom: -0.301
Symmetry: P4/mbm

The following is a GGA-PBEsol calculation of a relaxed structure of HfTa2CoAg, from Alexandria.

a b c (Å): 4.797 4.797 4.934
angles (deg): 90.00 90.00 90.00
Each line ends with the local moment (μB).
Positions (direct):
Co1 0.500 0.500 0.500  2.06
Hf1 0.000 0.000 0.000  0.05
Ag1 0.000 0.000 0.500  0.02
Ta1 0.000 0.500 0.000  -0.01
Ta2 0.500 0.000 0.000  -0.01

Values from the calculation:
Energy of formation from the pure elements in eV per atom: 2.237
Symmetry: P4/mmm

The following is a GGA-PBEsol calculation of a relaxed structure of CoAgHg, from Alexandria.

a b c (Å): 2.770 4.452 4.452
angles (deg): 120.00 90.00 90.00
Each line ends with the local moment (μB).
Positions (direct):
Co1 0.654 0.333 0.667  1.52
Hg1 0.372 0.667 0.333  -0.02
Ag1 0.974 0.000 0.000  -0.01

Values from the calculation:
Energy of formation from the pure elements in eV per atom: 0.453
Symmetry: P3m1

The following is a GGA-PBEsol calculation of a relaxed structure of Co3AgHg, from Alexandria.

a b c (Å): 4.553 4.553 4.553
angles (deg): 90.00 90.00 90.00
Each line ends with the local moment (μB).
Positions (direct):
Co1 0.000 0.500 0.000  1.90
Co2 0.000 0.000 0.500  1.90
Co3 0.500 0.000 0.000  1.90
Hg1 0.500 0.500 0.500  -0.02
Ag1 0.000 0.000 0.000  0.06

Values from the calculation:
Energy of formation from the pure elements in eV per atom: 1.695
Symmetry: Pm-3m

The following is a GGA-PBEsol calculation of a relaxed structure of Co4AgHg, from Alexandria.

a b c (Å): 4.806 4.806 4.806
angles (deg): 60.00 60.00 60.00
Each line ends with the local moment (μB).
Positions (direct):
Ag1 0.000 0.000 0.000  -0.02
Co1 0.375 0.375 0.375  1.63
Co2 0.375 0.375 0.876  1.63
Co3 0.876 0.375 0.375  1.63
Co4 0.375 0.876 0.375  1.63
Hg1 0.750 0.750 0.750  -0.04

Values from the calculation:
Energy of formation from the pure elements in eV per atom: 0.337
Symmetry: F-43m

The following is a GGA-PBEsol calculation of a relaxed structure of MnCo2AgHg, from Alexandria.

a b c (Å): 4.677 4.677 4.858
angles (deg): 90.00 90.00 90.00
Each line ends with the local moment (μB).
Positions (direct):
Mn1 0.000 0.000 0.500  4.05
Co1 0.000 0.500 0.000  1.80
Co2 0.500 0.000 0.000  1.80
Hg1 0.000 0.000 0.000  -0.02
Ag1 0.500 0.500 0.500  -0.03

Values from the calculation:
Energy of formation from the pure elements in eV per atom: 1.692
Symmetry: P4/mmm

The following is a GGA-PBEsol calculation of a relaxed structure of Co3AgI, from Alexandria.

a b c (Å): 4.626 4.626 4.626
angles (deg): 90.00 90.00 90.00
Each line ends with the local moment (μB).
Positions (direct):
I1 0.500 0.500 0.500  0.09
Co1 0.000 0.500 0.000  1.79
Co2 0.000 0.000 0.500  1.79
Co3 0.500 0.000 0.000  1.79
Ag1 0.000 0.000 0.000  0.01

Values from the calculation:
Energy in eV/atom: -3.988
Symmetry: Pm-3m

The following is a GGA-PBEsol calculation of a relaxed structure of Co2AgI, from Alexandria.

a b c (Å): 5.491 5.604 5.604
angles (deg): 76.11 60.66 60.66
Each line ends with the local moment (μB).
Positions (direct):
I1 0.750 0.500 0.500  0.03
I2 0.000 0.000 0.000  0.03
Co1 0.106 0.019 0.519  1.12
Co2 0.644 0.981 0.481  1.12
Co3 0.375 0.519 0.981  1.12
Co4 0.875 0.481 0.019  1.12
Ag1 0.250 0.500 0.500  0.00
Ag2 0.500 0.000 0.000  0.00

Values from the calculation:
Energy in eV/atom: -4.204
Symmetry: I-42d

The following is a GGA-PBEsol calculation of a relaxed structure of Sc2CoAgI, from Alexandria.

a b c (Å): 4.984 5.187 5.187
angles (deg): 90.00 90.00 90.00
Each line ends with the local moment (μB).
Positions (direct):
I1 0.000 0.000 0.000  0.00
Sc1 0.000 0.000 0.500  -0.05
Sc2 0.000 0.500 0.000  -0.05
Co1 0.500 0.500 0.500  2.03
Ag1 0.500 0.000 0.000  -0.01

Values from the calculation:
Energy in eV/atom: -4.100
Symmetry: P4/mmm

The following is a GGA-PBEsol calculation of a relaxed structure of CoAgTeI2, from Alexandria.

a b c (Å): 5.448 5.448 5.427
angles (deg): 90.00 90.00 90.00
Each line ends with the local moment (μB).
Positions (direct):
I1 0.000 0.500 0.000  0.05
I2 0.500 0.000 0.000  0.05
Te1 0.000 0.000 0.500  0.09
Co1 0.500 0.500 0.500  2.31
Ag1 0.000 0.000 0.000  0.01

Values from the calculation:
Energy in eV/atom: -2.578
Symmetry: P4/mmm

The following is a GGA-PBEsol calculation of a relaxed structure of InCo3Ag, from Alexandria.

a b c (Å): 4.544 4.544 4.544
angles (deg): 90.00 90.00 90.00
Each line ends with the local moment (μB).
Positions (direct):
Co1 0.000 0.500 0.000  1.81
Co2 0.000 0.000 0.500  1.81
Co3 0.500 0.000 0.000  1.81
Ag1 0.000 0.000 0.000  0.07
In1 0.500 0.500 0.500  -0.04

Values from the calculation:
Energy of formation from the pure elements in eV per atom: 1.568
Symmetry: Pm-3m

The following is a GGA-PBEsol calculation of a relaxed structure of In2CoAg, from Alexandria.

a b c (Å): 3.049 4.592 5.401
angles (deg): 101.77 90.00 109.39
Positions (direct):
Co1 0.500 0.000 0.000
Ag1 0.000 0.000 0.500
In1 0.762 0.524 0.771
In2 0.238 0.476 0.229

Values from the calculation:
Energy of formation from the pure elements in eV per atom: 0.227
Symmetry: C2/m

The following is a GGA-PBEsol calculation of a relaxed structure of In4CoAg, from Alexandria.

a b c (Å): 5.717 5.717 5.717
angles (deg): 60.00 60.00 60.00
Each line ends with the local moment (μB).
Positions (direct):
Ag1 0.750 0.750 0.750  -0.01
Co1 0.000 0.000 0.000  1.77
In1 0.375 0.375 0.375  0.01
In2 0.375 0.375 0.875  0.01
In3 0.875 0.375 0.375  0.01
In4 0.375 0.875 0.375  0.01

Values from the calculation:
Energy of formation from the pure elements in eV per atom: 0.688
Symmetry: F-43m

The following is a GGA-PBEsol calculation of a relaxed structure of In2CoAg, from Alexandria.

a b c (Å): 3.258 4.548 4.549
angles (deg): 90.00 90.00 90.00
Each line ends with the local moment (μB).
Positions (direct):
Co1 0.500 0.500 0.122  0.76
Ag1 0.500 0.000 0.628  0.01
In1 0.000 0.000 0.127  -0.01
In2 0.000 0.500 0.623  -0.01

Values from the calculation:
Energy of formation from the pure elements in eV per atom: 0.149
Symmetry: Pmm2

The following is a GGA-PBEsol calculation of a relaxed structure of InCo2Ag, from Alexandria.

a b c (Å): 3.873 3.873 4.664
angles (deg): 114.53 114.53 90.00
Each line ends with the local moment (μB).
Positions (direct):
Co1 0.000 0.000 0.000  1.44
Co2 0.750 0.250 0.500  1.37
Ag1 0.250 0.750 0.500  0.01
In1 0.500 0.500 0.000  -0.05

Values from the calculation:
Energy of formation from the pure elements in eV per atom: 0.293
Symmetry: I-4m2

The following is a GGA-PBEsol calculation of a relaxed structure of CoAgIr2, from Alexandria.

a b c (Å): 2.707 2.707 7.528
angles (deg): 90.00 90.00 90.00
Each line ends with the local moment (μB).
Positions (direct):
Ir1 0.000 0.000 0.987  0.10
Ir2 0.500 0.500 0.233  -0.18
Co1 0.500 0.500 0.767  1.35
Ag1 0.000 0.000 0.513  0.00

Values from the calculation:
Energy of formation from the pure elements in eV per atom: 0.227
Symmetry: P4mm

The following is a GGA-PBEsol calculation of a relaxed structure of CoAg2Ir, from Alexandria.

a b c (Å): 2.761 4.482 4.693
angles (deg): 90.00 90.00 90.00
Each line ends with the local moment (μB).
Positions (direct):
Ir1 0.000 0.500 0.500  0.33
Co1 0.500 0.000 0.500  1.68
Ag1 0.000 0.000 0.000  -0.02
Ag2 0.500 0.500 0.000  -0.01

Values from the calculation:
Energy of formation from the pure elements in eV per atom: 0.451
Symmetry: Pmmm

The following is a GGA-PBEsol calculation of a relaxed structure of CoAgIr2, from Alexandria.

a b c (Å): 3.781 3.781 3.835
angles (deg): 90.00 90.00 90.00
Each line ends with the local moment (μB).
Positions (direct):
Ir1 0.000 0.500 0.000  0.17
Ir2 0.500 0.000 0.000  0.17
Co1 0.000 0.000 0.500  0.95
Ag1 0.500 0.500 0.500  0.05

Values from the calculation:
Energy of formation from the pure elements in eV per atom: 0.484
Symmetry: P4/mmm

The following is a GGA-PBEsol calculation of a relaxed structure of CoAg2Ir, from Alexandria.

a b c (Å): 2.742 4.651 5.329
angles (deg): 115.87 104.90 90.00
Each line ends with the local moment (μB).
Positions (direct):
Ir1 0.228 0.728 0.455  0.35
Co1 0.513 0.513 0.026  1.60
Ag1 0.995 0.995 0.990  -0.01
Ag2 0.764 0.264 0.529  0.00

Values from the calculation:
Energy of formation from the pure elements in eV per atom: 0.444
Symmetry: Imm2

The following is a GGA-PBEsol calculation of a relaxed structure of CoAgIr2, from Alexandria.

a b c (Å): 2.660 4.461 4.771
angles (deg): 90.00 94.09 90.00
Each line ends with the local moment (μB).
Positions (direct):
Ir1 0.791 0.000 0.735  0.32
Ir2 0.209 0.000 0.265  0.32
Co1 0.000 0.500 0.500  1.84
Ag1 0.500 0.500 0.000  0.03

Values from the calculation:
Energy of formation from the pure elements in eV per atom: 0.446
Symmetry: P2/m

The following is a GGA-PBEsol calculation of a relaxed structure of CoAg2Ir, from Alexandria.

a b c (Å): 2.660 4.644 5.414
angles (deg): 114.80 103.24 92.22
Each line ends with the local moment (μB).
Positions (direct):
Ir1 0.000 0.500 0.000  0.38
Co1 0.500 0.000 0.000  1.67
Ag1 0.000 0.000 0.500  0.00
Ag2 0.500 0.500 0.500  0.00

Values from the calculation:
Energy of formation from the pure elements in eV per atom: 0.463
Symmetry: C2/m

The following is a GGA-PBEsol calculation of a relaxed structure of CoAgIr2, from Alexandria.

a b c (Å): 2.690 2.690 8.956
angles (deg): 81.36 81.36 60.00
Each line ends with the local moment (μB).
Positions (direct):
Ir1 0.258 0.258 0.227  0.25
Ir2 0.742 0.742 0.773  0.25
Co1 0.000 0.000 0.000  1.60
Ag1 0.500 0.500 0.500  0.01

Values from the calculation:
Energy of formation from the pure elements in eV per atom: 0.171
Symmetry: R-3m

The following is a GGA-PBEsol calculation of a relaxed structure of CoAg2Ir, from Alexandria.

a b c (Å): 4.355 4.355 4.355
angles (deg): 60.00 60.00 60.00
Each line ends with the local moment (μB).
Positions (direct):
Ir1 0.500 0.500 0.500  0.63
Co1 0.000 0.000 0.000  1.89
Ag1 0.250 0.250 0.250  0.05
Ag2 0.750 0.750 0.750  0.05

Values from the calculation:
Energy of formation from the pure elements in eV per atom: 0.659
Symmetry: Fm-3m

The following is a GGA-PBEsol calculation of a relaxed structure of CoAg2Ir, from Alexandria.

a b c (Å): 3.934 3.934 4.654
angles (deg): 115.00 115.00 90.00
Each line ends with the local moment (μB).
Positions (direct):
Ir1 0.250 0.750 0.500  0.74
Co1 0.500 0.500 0.000  1.92
Ag1 0.000 0.000 0.000  0.04
Ag2 0.750 0.250 0.500  0.04

Values from the calculation:
Energy of formation from the pure elements in eV per atom: 0.476
Symmetry: I-4m2

The following is a GGA-PBEsol calculation of a relaxed structure of CoAgIr2, from Alexandria.

a b c (Å): 2.664 2.664 9.128
angles (deg): 90.00 90.00 119.06
Each line ends with the local moment (μB).
Positions (direct):
Ir1 0.000 0.000 0.229  0.39
Ir2 0.000 0.000 0.771  0.39
Co1 0.500 0.500 0.000  1.83
Ag1 0.500 0.500 0.500  0.02

Values from the calculation:
Energy of formation from the pure elements in eV per atom: 0.341
Symmetry: Cmmm

The following is a GGA-PBEsol calculation of a relaxed structure of CoAg3Ir, from Alexandria.

a b c (Å): 4.910 4.910 4.910
angles (deg): 90.00 90.00 90.00
Each line ends with the local moment (μB).
Positions (direct):
Ir1 0.000 0.000 0.000  0.45
Co1 0.500 0.500 0.500  2.20
Ag1 0.000 0.500 0.000  0.03
Ag2 0.000 0.000 0.500  0.03
Ag3 0.500 0.000 0.000  0.03

Values from the calculation:
Energy of formation from the pure elements in eV per atom: 1.879
Symmetry: Pm-3m